[1]
A geometry-optimized HPtI structure. Source: Alexandria via LeMat-Bulk, functional GGA-PBEsol.

Results
final energy	-4.06	eV/atom
symmetry	No. 6
spin magnetization	0.00	Bohr magnetons per cell

```
HPtI
1.0
4.1214 0.0000 0.0000
0.0000 3.9043 0.0000
-2.0527 0.0000 7.8098
H Pt I
2 2 2
Cartesian
0.0000 0.9762 0.0000
0.0000 2.9280 0.0000
-0.9875 0.0000 6.8948
1.0704 1.9521 0.9093
-0.3604 1.9521 5.2831
1.7037 0.0000 2.5185
```

---

[2]
A geometry-optimized TeHPtI2 structure. Source: Alexandria via LeMat-Bulk, functional GGA-PBEsol.

Results
offset from the most stable computed form	0	meV per atom
symmetry	No. 123
spin magnetization	1.04	Bohr magnetons per cell

```
TeHPtI2
1.0
5.5770 0.0000 0.0000
0.0000 5.5770 0.0000
0.0000 0.0000 5.0724
Te H Pt I
1 1 1 2
Cartesian
0.0000 0.0000 0.0000
2.7885 2.7885 0.0000
0.0000 0.0000 2.5362
0.0000 2.7885 2.5362
2.7885 0.0000 2.5362
```

---

[3]
A geometry-optimized TeHPtI2 structure. Source: Alexandria via LeMat-Bulk, functional GGA-PBEsol.

Results
offset from the most stable computed form	195	meV per atom
symmetry	No. 123
spin magnetization	0.95	Bohr magnetons per cell

```
TeHPtI2
1.0
6.0310 0.0000 0.0000
0.0000 6.0310 0.0000
0.0000 0.0000 4.8770
Te H Pt I
1 1 1 2
Cartesian
0.0000 0.0000 0.0000
3.0155 3.0155 2.4385
0.0000 0.0000 2.4385
0.0000 3.0155 0.0000
3.0155 0.0000 0.0000
```